No. 1
Density functional theory data (PBE) for a relaxed structure of CeDyAlIn.

DFT total energy ... -4.60 eV per atom

CIF file:
```
data_CeDyAlIn
_chemical_formula_sum 'Ce4 Dy4 Al4 In4'
_cell_length_a 7.466
_cell_length_b 7.466
_cell_length_c 7.466
_cell_angle_alpha 90.00
_cell_angle_beta 90.00
_cell_angle_gamma 90.00
_space_group_name_H-M_alt 'F -4 3 m'
_space_group_IT_number 216
_space_group_name_Hall 'F -4 2 3'
loop_
_atom_site_label
_atom_site_fract_x
_atom_site_fract_y
_atom_site_fract_z
Ce1 0.000 0.000 0.000
Dy1 0.000 0.000 0.500
Al1 0.250 0.250 0.250
In1 0.250 0.250 0.750
```

=====

No. 2
Density functional theory data (PBE) for a relaxed structure of Er3Be5Pt6.

DFT total energy ... -5.78 eV per atom

CIF file:
```
data_Er3Be5Pt6
_chemical_formula_sum 'Er6 Be10 Pt12'
_cell_length_a 3.926
_cell_length_b 12.276
_cell_length_c 8.893
_cell_angle_alpha 90.00
_cell_angle_beta 90.00
_cell_angle_gamma 90.00
_space_group_name_H-M_alt 'P m m n'
_space_group_IT_number 59
loop_
_space_group_symop_operation_xyz
'x,y,z'
'-x,-y,-z'
'-x+1/2,-y+1/2,z'
'x+1/2,y+1/2,-z'
'x+1/2,-y,-z'
'-x+1/2,y,z'
'-x,y+1/2,-z'
'x,-y+1/2,z'
loop_
_atom_site_label
_atom_site_fract_x
_atom_site_fract_y
_atom_site_fract_z
Er1 0.250 0.052 0.249
Er2 0.250 0.750 0.258
Be1 0.250 0.095 0.873
Be2 0.250 0.632 0.539
Be3 0.250 0.750 0.806
Pt1 0.250 0.069 0.600
Pt2 0.250 0.250 0.031
Pt3 0.250 0.250 0.404
Pt4 0.250 0.587 0.988
```

=====

No. 3
Density functional theory data (PBE) for a relaxed structure of Zn15Ga.

DFT total energy ... -1.38 eV per atom

CIF file:
```
data_Zn15Ga
_chemical_formula_sum 'Zn15 Ga1'
_cell_length_a 5.3691
_cell_length_b 5.3691
_cell_length_c 9.8726
_cell_angle_alpha 90.00
_cell_angle_beta 90.00
_cell_angle_gamma 120.00
_space_group_name_H-M_alt 'P -6 m 2'
_space_group_IT_number 187
_space_group_name_Hall 'P -6 2'
loop_
_atom_site_label
_atom_site_fract_x
_atom_site_fract_y
_atom_site_fract_z
Zn1 0.0000 0.0000 0.0000
Zn2 0.0013 0.5006 0.0000
Zn3 0.3333 0.6667 0.2513
Zn4 0.3350 0.1675 0.2437
Zn5 0.5004 0.0008 0.5000
Ga1 0.0000 0.0000 0.5000
```

=====

No. 4
Density functional theory data (PBE) for a relaxed structure of AgMo2Au.

DFT total energy ... -6.54 eV per atom

CIF file:
```
data_AgMo2Au
_chemical_formula_sum 'Ag2 Mo4 Au2'
_cell_length_a 9.929
_cell_length_b 2.736
_cell_length_c 4.955
_cell_angle_alpha 90.00
_cell_angle_beta 98.62
_cell_angle_gamma 90.00
_space_group_name_H-M_alt 'C 1 2/m 1'
_space_group_IT_number 12
loop_
_space_group_symop_operation_xyz
'x,y,z'
'-x,-y,-z'
'-x,y,-z'
'x,-y,z'
'x+1/2,y+1/2,z'
'-x+1/2,-y+1/2,-z'
'-x+1/2,y+1/2,-z'
'x+1/2,-y+1/2,z'
loop_
_atom_site_label
_atom_site_fract_x
_atom_site_fract_y
_atom_site_fract_z
Ag1 0.000 0.000 0.000
Mo1 0.246 0.000 0.748
Au1 0.000 0.500 0.500
```

=====

No. 5
Density functional theory data (PBE) for a relaxed structure of Pm4Pr2Nd2Sm.

DFT total energy ... -4.75 eV per atom

CIF file:
```
data_Pm4Pr2Nd2Sm
_chemical_formula_sum 'Pm8 Pr4 Nd4 Sm2'
_cell_length_a 19.195
_cell_length_b 3.701
_cell_length_c 9.847
_cell_angle_alpha 90.00
_cell_angle_beta 115.62
_cell_angle_gamma 90.00
_space_group_name_H-M_alt 'C 1 2/m 1'
_space_group_IT_number 12
loop_
_space_group_symop_operation_xyz
'x,y,z'
'-x,-y,-z'
'-x,y,-z'
'x,-y,z'
'x+1/2,y+1/2,z'
'-x+1/2,-y+1/2,-z'
'-x+1/2,y+1/2,-z'
'x+1/2,-y+1/2,z'
loop_
_atom_site_label
_atom_site_fract_x
_atom_site_fract_y
_atom_site_fract_z
Pm1 0.019 0.000 0.331
Pm2 0.185 0.500 0.333
Pr1 0.166 0.000 0.000
Nd1 0.148 0.500 0.666
Sm1 0.000 0.500 0.000
```

=====

No. 6
Density functional theory data (PBE) for a relaxed structure of Nb3Cu4PbO12.

DFT total energy ... -7.06 eV per atom
Formation energy without anion corrections ... -151.61 kJ/mol of atoms

CIF file:
```
data_Nb3Cu4PbO12
_chemical_formula_sum 'Nb9 Cu12 Pb3 O36'
_cell_length_a 11.0390
_cell_length_b 11.0390
_cell_length_c 7.7731
_cell_angle_alpha 90.00
_cell_angle_beta 90.00
_cell_angle_gamma 120.00
_space_group_name_H-M_alt 'R 3 2'
_space_group_IT_number 155
_space_group_name_Hall 'R 3 2"'
loop_
_atom_site_label
_atom_site_fract_x
_atom_site_fract_y
_atom_site_fract_z
Nb1 0.0000 0.5592 0.0000
Cu1 0.0000 0.0000 0.5000
Cu2 0.0000 0.4313 0.5000
Pb1 0.0000 0.0000 0.0000
O1 0.0000 0.6040 0.5000
O2 0.0000 0.8292 0.5000
O3 0.0566 0.2127 0.2061
```

=====

No. 7
Density functional theory data (PBE) for a relaxed structure of SmThMgTc.

DFT total energy ... -5.96 eV per atom

CIF file:
```
data_SmThMgTc
_chemical_formula_sum 'Sm4 Th4 Mg4 Tc4'
_cell_length_a 7.316
_cell_length_b 7.316
_cell_length_c 7.316
_cell_angle_alpha 90.00
_cell_angle_beta 90.00
_cell_angle_gamma 90.00
_space_group_name_H-M_alt 'F -4 3 m'
_space_group_IT_number 216
_space_group_name_Hall 'F -4 2 3'
loop_
_atom_site_label
_atom_site_fract_x
_atom_site_fract_y
_atom_site_fract_z
Sm1 0.000 0.000 0.000
Th1 0.000 0.000 0.500
Mg1 0.250 0.250 0.250
Tc1 0.250 0.250 0.750
```

=====

No. 8
Density functional theory data (PBE) for a relaxed structure of Ce5Sb2AsC.

DFT total energy ... -6.53 eV per atom
Formation energy without anion corrections ... -74.45 kJ/mol of atoms

CIF file:
```
data_Ce5Sb2AsC
_chemical_formula_sum 'Ce5 Sb2 As1 C1'
_cell_length_a 4.699
_cell_length_b 4.699
_cell_length_c 11.329
_cell_angle_alpha 90.00
_cell_angle_beta 90.00
_cell_angle_gamma 90.00
_space_group_name_H-M_alt 'P 4/m m m'
_space_group_IT_number 123
_space_group_name_Hall '-P 4 2'
loop_
_atom_site_label
_atom_site_fract_x
_atom_site_fract_y
_atom_site_fract_z
Ce1 0.000 0.000 0.000
Ce2 0.000 0.500 0.500
Ce3 0.500 0.500 0.259
Sb1 0.000 0.000 0.289
As1 0.500 0.500 0.000
C1 0.500 0.500 0.500
```

=====

No. 9
Density functional theory data (PBE) for a relaxed structure of CeBi4S8.

DFT total energy ... -4.77 eV per atom
Formation energy without anion corrections ... -55.67 kJ/mol of atoms

CIF file:
```
data_CeBi4S8
_chemical_formula_sum 'Ce3 Bi12 S24'
_cell_length_a 7.9784
_cell_length_b 7.9784
_cell_length_c 20.0820
_cell_angle_alpha 90.00
_cell_angle_beta 90.00
_cell_angle_gamma 120.00
_space_group_name_H-M_alt 'R -3 m'
_space_group_IT_number 166
_space_group_name_Hall '-R 3 2"'
loop_
_atom_site_label
_atom_site_fract_x
_atom_site_fract_y
_atom_site_fract_z
Ce1 0.0000 0.0000 0.0000
Bi1 0.0000 0.0000 0.5000
Bi2 0.0000 0.5000 0.5000
S1 0.0000 0.0000 0.2452
S2 0.0067 0.5034 0.7495
```

=====

No. 10
Density functional theory data (PBE) for a relaxed structure of LiPrZnIn.

DFT total energy ... -3.04 eV per atom

CIF file:
```
data_LiPrZnIn
_chemical_formula_sum 'Li4 Pr4 Zn4 In4'
_cell_length_a 6.989
_cell_length_b 6.989
_cell_length_c 6.989
_cell_angle_alpha 90.00
_cell_angle_beta 90.00
_cell_angle_gamma 90.00
_space_group_name_H-M_alt 'F -4 3 m'
_space_group_IT_number 216
_space_group_name_Hall 'F -4 2 3'
loop_
_atom_site_label
_atom_site_fract_x
_atom_site_fract_y
_atom_site_fract_z
Li1 0.000 0.000 0.000
Pr1 0.250 0.250 0.250
Zn1 0.000 0.000 0.500
In1 0.250 0.250 0.750
```

=====

No. 11
Density functional theory data (PBE) for a relaxed structure of Ce3SbBr3.

DFT total energy ... -5.18 eV per atom
Formation energy without anion corrections ... -128.45 kJ/mol of atoms

CIF file:
```
data_Ce3SbBr3
_chemical_formula_sum 'Ce24 Sb8 Br24'
_cell_length_a 12.260
_cell_length_b 12.260
_cell_length_c 12.260
_cell_angle_alpha 90.00
_cell_angle_beta 90.00
_cell_angle_gamma 90.00
_space_group_name_H-M_alt 'I 41 3 2'
_space_group_IT_number 214
_space_group_name_Hall 'I 4bd 2c 3'
loop_
_atom_site_label
_atom_site_fract_x
_atom_site_fract_y
_atom_site_fract_z
Ce1 0.125 0.125 0.375
Sb1 0.125 0.125 0.125
Br1 0.121 0.129 0.625
```

=====

No. 12
Density functional theory data (PBE) for a relaxed structure of Th4GeCN2.

DFT total energy ... -8.29 eV per atom
Formation energy without anion corrections ... -74.33 kJ/mol of atoms

CIF file:
```
data_Th4GeCN2
_chemical_formula_sum 'Th8 Ge2 C2 N4'
_cell_length_a 6.649
_cell_length_b 6.649
_cell_length_c 7.928
_cell_angle_alpha 90.00
_cell_angle_beta 90.00
_cell_angle_gamma 90.00
_space_group_name_H-M_alt 'I -4 2 m'
_space_group_IT_number 121
_space_group_name_Hall 'I -4 2'
loop_
_atom_site_label
_atom_site_fract_x
_atom_site_fract_y
_atom_site_fract_z
Th1 0.217 0.217 0.179
Ge1 0.000 0.000 0.500
C1 0.000 0.000 0.000
N1 0.000 0.500 0.250
```